VASP calculation (PBE) on a relaxed SmEuRhAu crystal.

The structure in extended XYZ format:
```
4
Lattice="0.0000 3.6012 3.6012 3.6012 0.0000 3.6012 3.6012 3.6012 0.0000" Properties=species:S:1:pos:R:3 pbc="T T T"
Sm 0.0000 0.0000 0.0000
Eu 3.6012 3.6012 3.6012
Rh 1.8006 1.8006 1.8006
Au 5.4019 5.4019 5.4019
```


VASP calculation (PBE) on a relaxed TcPt6Rh3 crystal.

The structure in extended XYZ format:
```
20
Lattice="5.4784 0.0000 0.0000 0.0000 4.3254 0.0000 -1.5162 0.0000 12.9120" Properties=species:S:1:pos:R:3 pbc="T T T"
Tc 0.6158 1.0814 5.6139
Tc 3.3464 3.2441 7.2981
Pt -0.7904 3.2441 9.6473
Pt 0.6413 3.2441 2.0527
Pt 0.6083 3.2441 7.2205
Pt 0.5864 1.0814 10.8016
Pt 2.0287 1.0814 0.6042
Pt 2.0086 3.2441 4.7819
Pt 1.9535 1.0814 8.1302
Pt 1.9334 3.2441 12.3078
Pt 3.3757 3.2441 2.1104
Pt 3.3538 1.0814 5.6915
Pt 3.3208 1.0814 10.8593
Pt 4.7526 1.0814 3.2647
Rh -0.7785 1.0814 8.0741
Rh -0.8377 3.2441 12.2824
Rh 1.9984 1.0814 3.2413
Rh 1.9637 3.2441 9.6708
Rh 4.7999 1.0814 0.6296
Rh 4.7406 3.2441 4.8379
```


VASP calculation (PBE) on a relaxed YTh4Pd15 crystal.

The structure in extended XYZ format:
```
20
Lattice="4.1976 0.0000 0.0000 0.0000 4.1976 0.0000 0.0000 0.0000 21.0497" Properties=species:S:1:pos:R:3 pbc="T T T"
Y 0.0000 0.0000 0.0000
Th 0.0000 0.0000 4.1177
Th 0.0000 0.0000 8.3918
Th 0.0000 0.0000 12.6579
Th 0.0000 0.0000 16.9320
Pd 0.0000 2.0988 2.0863
Pd 0.0000 2.0988 6.2975
Pd 0.0000 2.0988 10.5249
Pd 0.0000 2.0988 14.7522
Pd 0.0000 2.0988 18.9634
Pd 2.0988 0.0000 2.0863
Pd 2.0988 0.0000 6.2975
Pd 2.0988 0.0000 10.5249
Pd 2.0988 0.0000 14.7522
Pd 2.0988 0.0000 18.9634
Pd 2.0988 2.0988 0.0000
Pd 2.0988 2.0988 4.2074
Pd 2.0988 2.0988 8.4163
Pd 2.0988 2.0988 12.6334
Pd 2.0988 2.0988 16.8423
```


Formation enthalpy at 0 K, record by record: -0.651, 0.032, -0.930 eV per atom